1.
A plane-wave DFT calculation with PBE+U was carried out for KAc2VO6 after structural relaxation.

Computed properties:
Density of states at the Fermi level: 0.00 states/eV/cell
Energy: -7.1537 eV/atom
Space-group type: P4mm (99)
Magnetization: 0.0 μB/f.u.

extended XYZ file:
```
10
Lattice="5.683 0.000 0.000 0.000 5.683 0.000 0.000 0.000 5.510" Properties=species:S:1:pos:R:3 pbc="T T T"
K 0.000 0.000 0.000
Ac 0.000 2.842 2.506
Ac 2.842 0.000 2.506
V 2.842 2.842 0.452
O 0.000 0.000 3.019
O 1.613 1.613 1.107
O 1.613 4.070 1.107
O 2.842 2.842 4.198
O 4.070 1.613 1.107
O 4.070 4.070 1.107
```

---

2.
A plane-wave DFT calculation with PBE+U was carried out for K2Ac2VO6 after structural relaxation.

Computed properties:
Density of states at the Fermi level: 0.00 states/eV/cell
Energy: -6.6970 eV/atom
Space-group type: C2/m (12)
Magnetization: 1.0 μB/f.u.

extended XYZ file:
```
11
Lattice="3.144 -5.307 0.000 3.144 5.307 0.000 -1.418 0.000 6.419" Properties=species:S:1:pos:R:3 pbc="T T T"
K 3.144 3.730 0.000
K 3.144 -3.730 0.000
Ac 2.435 1.741 3.210
Ac 2.435 -1.741 3.210
V -0.709 0.000 3.210
O 0.205 1.570 4.291
O 0.852 0.000 2.091
O 0.205 -1.570 4.291
O 4.665 1.570 2.129
O 4.017 0.000 4.328
O 4.665 -1.570 2.129
```

---

3.
A plane-wave DFT calculation with PBE+U was carried out for K2AcVO4 after structural relaxation.

Computed properties:
Density of states at the Fermi level: 0.00 states/eV/cell
Energy: -6.2554 eV/atom
Space-group type: I-4 (82)
Magnetization: 0.0 μB/f.u.

extended XYZ file:
```
8
Lattice="-3.116 3.116 3.742 3.116 -3.116 3.742 3.116 3.116 -3.742" Properties=species:S:1:pos:R:3 pbc="T T T"
K 0.000 0.000 0.000
K 0.000 3.116 1.871
Ac 0.000 0.000 3.742
V 3.116 0.000 1.871
O 1.498 2.038 -1.459
O 4.195 1.498 1.459
O 1.618 1.078 2.284
O -1.078 1.618 5.201
```

---

4.
A plane-wave DFT calculation with PBE+U was carried out for KAc3V4O12 after structural relaxation.

Computed properties:
Density of states at the Fermi level: 9.72 states/eV/cell
Energy: -7.4290 eV/atom
Space-group type: R32 (155)
Magnetization: 4.9 μB/f.u.

extended XYZ file:
```
20
Lattice="6.103 3.524 3.148 -6.103 3.524 3.148 0.000 -7.047 3.148" Properties=species:S:1:pos:R:3 pbc="T T T"
K 0.000 0.000 0.000
Ac -3.338 -1.266 3.148
Ac -3.338 1.266 6.296
Ac 0.573 3.524 3.148
V -2.752 -4.767 4.722
V 0.000 0.000 4.722
V -2.752 4.767 4.722
V 5.505 0.000 4.722
O -3.629 -3.271 4.600
O -4.931 0.000 4.722
O -1.019 -4.779 4.844
O -1.890 0.000 4.722
O -3.629 3.271 4.844
O 2.465 -4.270 4.722
O 0.945 -1.637 4.722
O -1.019 4.779 4.600
O 0.945 1.637 4.722
O 4.648 -1.507 4.600
O 2.465 4.270 4.722
O 4.648 1.507 4.844
```

---

5.
A plane-wave DFT calculation with PBE+U was carried out for KAc2VO5 after structural relaxation.

Computed properties:
Density of states at the Fermi level: 0.00 states/eV/cell
Energy: -7.1749 eV/atom
Space-group type: P4/mbm (127)
Magnetization: 0.0 μB/f.u.

extended XYZ file:
```
18
Lattice="7.254 0.000 0.000 0.000 7.254 0.000 0.000 0.000 5.863" Properties=species:S:1:pos:R:3 pbc="T T T"
K 0.000 0.000 0.000
K 3.627 3.627 0.000
Ac 1.317 2.310 2.931
Ac 2.310 5.937 2.931
Ac 4.944 1.317 2.931
Ac 5.937 4.944 2.931
V 0.000 3.627 0.000
V 3.627 0.000 0.000
O 0.000 0.000 2.931
O 0.912 4.539 1.382
O 0.912 4.539 4.481
O 2.715 0.912 1.382
O 2.715 0.912 4.481
O 3.627 3.627 2.931
O 4.539 6.342 1.382
O 4.539 6.342 4.481
O 6.342 2.715 1.382
O 6.342 2.715 4.481
```

---

6.
A plane-wave DFT calculation with PBE+U was carried out for K3Ac3VO8 after structural relaxation.

Computed properties:
Density of states at the Fermi level: 0.00 states/eV/cell
Energy: -6.5885 eV/atom
Space-group type: C2/m (12)
Magnetization: 1.0 μB/f.u.

extended XYZ file:
```
15
Lattice="6.317 -3.673 0.000 6.317 3.673 0.000 -4.269 0.000 6.327" Properties=species:S:1:pos:R:3 pbc="T T T"
K 0.000 0.000 0.000
K 3.159 1.837 0.000
K 3.159 -1.837 0.000
Ac 1.024 1.837 3.163
Ac 1.024 -1.837 3.163
Ac 4.183 0.000 3.163
V -2.134 0.000 3.163
O -0.448 0.000 4.222
O 3.273 2.111 4.254
O 5.093 2.111 2.073
O 2.069 0.000 1.881
O 6.296 0.000 4.446
O 3.273 -2.111 4.254
O 5.093 -2.111 2.073
O 8.814 0.000 2.105
```

---

7.
A plane-wave DFT calculation with PBE+U was carried out for KAcV2O8 after structural relaxation.

Computed properties:
Density of states at the Fermi level: 12.37 states/eV/cell
Energy: -6.9224 eV/atom
Space-group type: P-3m1 (164)
Magnetization: 2.0 μB/f.u.

extended XYZ file:
```
12
Lattice="6.067 0.000 0.000 -3.033 5.254 0.000 0.000 0.000 8.026" Properties=species:S:1:pos:R:3 pbc="T T T"
K 0.000 0.000 0.000
Ac 0.000 0.000 4.013
V 0.000 3.503 1.797
V 3.033 1.751 6.229
O 0.000 1.851 2.362
O -1.431 4.328 2.362
O 0.000 3.503 0.076
O 1.603 0.925 5.664
O 1.431 4.328 2.362
O 3.033 1.751 7.950
O 4.464 0.925 5.664
O 3.033 3.403 5.664
```

---

8.
A plane-wave DFT calculation with PBE+U was carried out for KAcVO4 after structural relaxation.

Computed properties:
Energy: -7.0694 eV/atom
Space-group type: P2_1/m (11)
Magnetization: 1.0 μB/f.u.

extended XYZ file:
```
14
Lattice="6.411 0.000 0.000 0.000 6.003 0.000 -1.234 0.000 7.583" Properties=species:S:1:pos:R:3 pbc="T T T"
K 0.393 1.501 2.910
K 4.783 4.502 4.673
Ac 0.690 1.501 7.085
Ac 4.487 4.502 0.498
V 1.251 4.502 1.326
V 3.926 1.501 6.257
O -0.236 4.502 2.365
O -0.752 4.502 7.253
O 2.445 3.113 1.345
O 2.445 5.891 1.345
O 2.732 0.112 6.238
O 2.732 2.890 6.238
O 5.929 1.501 0.330
O 5.413 1.501 5.217
```

---

9.
A plane-wave DFT calculation with PBE+U was carried out for K3AcV4O12 after structural relaxation.

Computed properties:
Density of states at the Fermi level: 10.68 states/eV/cell
Energy: -6.6041 eV/atom
Space-group type: R32 (155)
Magnetization: 2.0 μB/f.u.

extended XYZ file:
```
20
Lattice="6.122 3.534 3.132 -6.122 3.534 3.132 0.000 -7.069 3.132" Properties=species:S:1:pos:R:3 pbc="T T T"
K -3.143 -1.626 3.132
K -3.143 1.626 6.264
K 0.163 3.534 3.132
Ac 0.000 0.000 0.000
V -3.002 -5.200 4.698
V 0.000 0.000 4.698
V -3.002 5.200 4.698
V 6.004 0.000 4.698
O -4.004 -3.760 4.801
O -4.579 0.000 4.698
O -1.254 -5.348 4.595
O -4.004 3.760 4.595
O -1.678 0.000 4.698
O 2.290 -3.966 4.698
O 0.839 -1.453 4.698
O 0.839 1.453 4.698
O -1.254 5.348 4.801
O 5.259 -1.587 4.801
O 2.290 3.966 4.698
O 5.259 1.587 4.595
```

---

10.
A plane-wave DFT calculation with PBE+U was carried out for K3AcV2O8 after structural relaxation.

Computed properties:
Density of states at the Fermi level: 0.00 states/eV/cell
Energy: -6.7163 eV/atom
Space-group type: P-3m1 (164)
Magnetization: 0.0 μB/f.u.

extended XYZ file:
```
14
Lattice="6.229 0.000 0.000 -3.114 5.394 0.000 0.000 0.000 7.982" Properties=species:S:1:pos:R:3 pbc="T T T"
K 0.000 0.000 0.000
K 0.000 3.596 5.614
K 3.114 1.798 2.368
Ac 0.000 0.000 3.991
V 0.000 3.596 1.849
V 3.114 1.798 6.133
O 0.000 1.938 2.462
O -1.436 4.425 2.462
O 0.000 3.596 0.165
O 1.678 0.969 5.520
O 1.436 4.425 2.462
O 3.114 1.798 7.816
O 4.551 0.969 5.520
O 3.114 3.456 5.520
```

---

11.
A plane-wave DFT calculation with PBE+U was carried out for K2Ac2WO6 after structural relaxation.

Computed properties:
Density of states at the Fermi level: 0.00 states/eV/cell
Energy: -6.6923 eV/atom
Space-group type: C2/m (12)
Magnetization: 2.0 μB/f.u.

extended XYZ file:
```
11
Lattice="3.192 -5.424 0.000 3.192 5.424 0.000 -1.666 0.000 6.434" Properties=species:S:1:pos:R:3 pbc="T T T"
K 3.192 3.836 0.000
K 3.192 -3.836 0.000
Ac 2.359 1.768 3.217
Ac 2.359 -1.768 3.217
W -0.833 0.000 3.217
O 0.069 1.580 4.306
O 1.017 0.000 2.041
O 0.069 -1.580 4.306
O 4.649 1.580 2.129
O 3.701 0.000 4.394
O 4.649 -1.580 2.129
```

---

12.
A plane-wave DFT calculation with PBE+U was carried out for KAc2WO6 after structural relaxation.

Computed properties:
Density of states at the Fermi level: 0.00 states/eV/cell
Energy: -7.2989 eV/atom
Space-group type: R-3 (148)
Magnetization: 1.0 μB/f.u.

extended XYZ file:
```
10
Lattice="3.185 1.839 4.797 -3.185 1.839 4.797 0.000 -3.677 4.797" Properties=species:S:1:pos:R:3 pbc="T T T"
K 0.000 0.000 0.000
Ac 0.000 0.000 3.899
Ac 0.000 0.000 10.492
W 0.000 0.000 7.195
O -1.643 0.054 6.017
O -0.868 -1.396 8.374
O 0.775 -1.449 6.017
O -0.775 1.449 8.374
O 0.868 1.396 6.017
O 1.643 -0.054 8.374
```